*one*
First-principles (PBE) data for an optimized crystal structure of ScP3O9, as listed in Alexandria. Values from VASP.

Cell and atoms, written as Quantum ESPRESSO input:
```
&SYSTEM
  ibrav = 0, nat = 26, ntyp = 3
/
ATOMIC_SPECIES
O 16.00 O.upf
P 30.97 P.upf
Sc 44.96 Sc.upf
ATOMIC_POSITIONS angstrom
O 6.063 4.812 4.060
P 6.140 0.268 4.071
Sc 1.429 3.409 9.673
P 2.623 6.552 9.143
O 3.920 3.792 4.748
Sc 5.716 6.843 7.639
P 4.200 1.721 8.304
P 2.529 3.131 4.333
P 4.758 5.155 4.701
O 2.708 1.645 4.319
O 2.507 5.065 9.005
O 1.667 3.573 5.599
O 3.204 2.327 9.248
O 1.153 0.324 6.547
O 5.901 5.087 8.777
O 6.628 1.666 4.313
O 5.489 2.664 8.129
O 3.981 6.098 3.657
O 4.752 0.358 8.936
O 7.723 6.620 6.978
O 5.731 0.152 2.539
P 6.415 3.688 8.957
O 2.015 3.758 3.072
O 4.778 5.761 6.073
O 3.745 1.377 6.923
O 6.628 3.186 10.355
CELL_PARAMETERS angstrom
6.130 0.000 2.579
2.731 6.854 2.082
-0.013 -0.014 8.603
```

Computed properties:
- D(E_F): 0.000 states/eV/atom
- Crystal system: monoclinic
- ρ: 2.59 g cm⁻³



*two*
First-principles (PBE) data for an optimized crystal structure of ScP3O9, as listed in Alexandria. Values from VASP.

Cell and atoms, written as Quantum ESPRESSO input:
```
&SYSTEM
  ibrav = 0, nat = 104, ntyp = 3
/
ATOMIC_SPECIES
O 16.00 O.upf
P 30.97 P.upf
Sc 44.96 Sc.upf
ATOMIC_POSITIONS angstrom
O -1.671 -3.773 7.126
O 4.638 8.058 0.295
O -1.025 2.387 6.096
O 1.355 5.308 3.453
P 3.473 5.664 7.303
O 7.664 0.336 6.324
O 2.638 5.762 6.063
O 2.535 1.664 3.472
O -1.555 8.360 2.215
O -0.258 -1.864 5.446
O -1.614 2.803 9.358
O 6.844 8.318 2.281
P -0.733 2.740 1.254
O 1.969 -1.166 4.365
P 8.444 -0.707 5.586
O 7.514 4.613 4.042
P 2.135 5.191 2.180
Sc 2.977 0.502 5.151
O 7.387 -1.862 5.187
O 0.432 7.612 6.831
P -1.379 3.949 5.971
O -2.115 4.294 7.366
Sc 5.080 7.184 2.141
O 3.458 -0.640 6.849
O -2.237 -1.585 9.130
O 8.844 2.175 3.177
P -2.071 7.413 3.406
O 0.347 4.441 9.516
Sc 0.874 6.450 5.151
O 8.278 4.363 1.173
O 4.695 6.702 7.107
Sc 3.687 0.000 0.000
P 5.576 -0.284 3.000
Sc -5.435 1.236 8.161
P 8.389 0.769 2.971
O 0.548 2.411 8.087
P 0.032 1.464 6.897
O 8.901 8.751 0.945
O 2.592 -3.557 8.051
O 5.411 0.141 8.328
O -4.218 -2.578 10.266
O -2.851 6.251 2.871
O 4.754 -2.261 8.347
O 4.194 4.232 7.402
O 1.845 8.111 4.337
O -0.134 4.782 5.937
O 8.759 0.073 1.698
P 4.183 -3.760 8.151
P 2.080 2.188 2.152
O -1.756 10.389 0.786
O 8.960 -0.150 4.170
O 5.284 4.086 5.115
O -4.464 -0.300 9.193
P 4.238 -0.757 8.122
P 4.930 3.196 6.405
O 2.450 1.434 0.912
O -3.128 8.335 4.206
O -3.001 -1.335 6.260
O -5.877 2.109 10.007
P -2.126 8.939 0.819
P -3.482 -1.197 9.868
P 0.724 -1.999 4.332
O 2.827 5.919 8.623
Sc 9.996 0.000 0.000
O 1.205 1.194 6.016
O 11.239 1.469 0.814
O -3.482 4.508 9.437
O 6.798 0.754 3.196
P 2.827 9.144 3.897
O 7.033 10.457 0.865
P 7.679 9.441 1.746
O 6.175 2.751 7.110
O 3.948 2.163 5.966
O 0.724 -4.479 9.488
O 4.553 -4.514 9.391
O -5.962 6.021 8.604
O -0.012 -1.654 2.936
P -0.023 2.991 9.483
O -1.568 3.764 1.959
O 4.072 8.699 3.193
O 0.489 2.391 2.251
P 6.341 5.241 4.717
O 3.308 6.089 1.974
O 4.930 -0.029 1.679
O -5.761 5.798 6.132
O 2.651 3.687 1.955
O 0.535 -2.184 8.344
P -6.332 6.717 7.331
O 5.561 6.285 3.979
O -0.748 0.303 7.432
Sc -1.229 -1.738 7.292
Sc -3.332 4.210 3.010
P 7.033 4.751 0.435
O -2.361 4.085 4.856
O 2.091 10.180 2.900
O 4.741 -0.186 4.239
O 1.078 5.423 0.981
O -3.671 2.370 8.022
O 6.297 3.370 0.036
O 3.181 -0.525 9.322
O 6.051 5.648 1.109
O -0.898 7.142 4.286
P -2.836 3.492 8.557
P 1.370 -3.208 9.049
CELL_PARAMETERS angstrom
12.618 0.000 0.000
-4.206 11.896 0.000
-4.206 -5.948 10.302
```

Computed properties:
- D(E_F): 0.000 states/eV/atom
- Crystal system: cubic
- ρ: 2.42 g cm⁻³



Stability, lowest: *one*



*one*
First-principles (PBE) data for an optimized crystal structure of ScPO6, as listed in Alexandria. Values from VASP.

Cell and atoms, written as Quantum ESPRESSO input:
```
&SYSTEM
  ibrav = 0, nat = 8, ntyp = 3
/
ATOMIC_SPECIES
O 16.00 O.upf
Sc 44.96 Sc.upf
P 30.97 P.upf
ATOMIC_POSITIONS angstrom
O -1.446 5.711 5.251
Sc -1.210 5.535 3.181
O 0.023 7.223 3.179
O 0.461 4.314 3.476
P 0.000 0.000 0.000
O -2.443 3.847 3.184
O -2.881 6.756 2.887
O -0.974 5.359 1.111
CELL_PARAMETERS angstrom
-0.786 5.220 -0.533
-3.423 2.506 3.186
1.789 3.344 3.710
```

Computed properties:
- D(E_F): 0.790 states/eV/atom
- Crystal system: cubic
- ρ: 2.70 g cm⁻³



*two*
First-principles (PBE) data for an optimized crystal structure of ScPO6, as listed in Alexandria. Values from VASP.

Cell and atoms, written as Quantum ESPRESSO input:
```
&SYSTEM
  ibrav = 0, nat = 32, ntyp = 3
/
ATOMIC_SPECIES
O 16.00 O.upf
Sc 44.96 Sc.upf
P 30.97 P.upf
ATOMIC_POSITIONS angstrom
O 4.984 4.353 4.477
Sc 7.879 8.288 6.619
O 0.201 6.156 8.735
O 4.698 5.710 1.873
O 2.371 7.356 7.333
O 9.549 7.102 9.442
O 4.643 3.407 3.770
P 8.008 2.665 3.203
O 2.473 4.607 2.368
O 9.487 5.080 1.139
O 5.045 7.830 6.104
O 7.510 7.109 2.468
O 2.665 1.378 2.441
O 0.140 4.134 0.432
O 7.023 9.858 7.433
O 6.874 5.361 9.673
Sc 1.809 2.948 3.255
O 9.542 2.777 3.036
Sc 6.654 5.539 1.654
O 7.659 2.612 4.708
P 3.164 5.822 1.706
P 1.680 8.571 6.671
O 2.814 5.875 0.201
O 0.147 8.459 6.838
O 4.991 5.526 8.001
O 7.317 3.880 2.541
O 4.705 6.883 5.397
P 6.525 5.415 8.168
O 7.216 6.630 7.506
O 2.179 4.127 7.406
O 2.030 8.625 5.166
Sc 3.035 5.697 8.220
CELL_PARAMETERS angstrom
9.688 0.000 0.000
0.000 5.738 -0.056
0.000 5.499 9.930
```

Computed properties:
- Crystal system: monoclinic
- ρ: 2.06 g cm⁻³



Stability, lowest: *one*



*one*
First-principles (PBE) data for an optimized crystal structure of ScP3O, as listed in Alexandria. Values from VASP.

Cell and atoms, written as Quantum ESPRESSO input:
```
&SYSTEM
  ibrav = 0, nat = 5, ntyp = 3
/
ATOMIC_SPECIES
O 16.00 O.upf
P 30.97 P.upf
Sc 44.96 Sc.upf
ATOMIC_POSITIONS angstrom
O 0.000 0.000 0.000
P 0.000 0.000 2.087
P 0.000 2.087 0.000
P 2.087 0.000 0.000
Sc 2.087 2.087 2.087
CELL_PARAMETERS angstrom
4.175 0.000 0.000
0.000 4.175 0.000
0.000 0.000 4.175
```

Computed properties:
- D(E_F): 0.383 states/eV/atom
- Crystal system: cubic
- ρ: 3.51 g cm⁻³



*two*
First-principles (PBE) data for an optimized crystal structure of ScP3O, as listed in Alexandria. Values from VASP.

Cell and atoms, written as Quantum ESPRESSO input:
```
&SYSTEM
  ibrav = 0, nat = 5, ntyp = 3
/
ATOMIC_SPECIES
P 30.97 P.upf
Sc 44.96 Sc.upf
O 16.00 O.upf
ATOMIC_POSITIONS angstrom
P 0.000 2.436 0.000
P 0.000 0.000 2.436
P 2.436 0.000 0.000
Sc 0.000 0.000 0.000
O 2.436 2.436 2.436
CELL_PARAMETERS angstrom
4.872 0.000 0.000
0.000 4.872 0.000
0.000 0.000 4.872
```

Computed properties:
- D(E_F): 2.281 states/eV/atom
- Crystal system: cubic
- ρ: 2.21 g cm⁻³



Stability, lowest: *two*